## SiPCl (PBE-GGA)

Data for a geometry-optimized SiPCl structure.

As for the raw formation energy: 0.38 eV/atom. The calculation puts the relative energy among the computed polymorphs at 0.944 eV per atom.

The structure belongs to space group F-43m (No. 216); the cell edges are 6.1087, 6.1087 and 6.1087 Å and the angles 90.00°, 90.00° and 90.00°. The inequivalent atoms are Si at (0.0000, 0.0000, 0.0000), P at (0.2500, 0.2500, 0.7500) and Cl at (0.2500, 0.2500, 0.2500).